First-principles (PBE) data for AsAuSO after structural relaxation, as listed in the Open Quantum Materials Database.

Computed properties:
Space-group type: No. 26
Excess energy over the best structure of this formula in the dataset: 279.6 meV per atom

POSCAR file:
```
AsAuSO
1.0
3.4565 0.0000 0.0000
0.0000 6.4448 0.0000
0.0000 0.0000 6.6555
As Au S O
2 2 2 2
Cartesian
0.0000 1.3753 0.0000
0.0000 5.0695 3.3277
1.7283 1.9009 4.1633
1.7283 4.5439 0.8356
1.7283 2.2923 1.4537
1.7283 4.1525 4.7815
0.0000 0.2446 3.9403
0.0000 6.2002 0.6125
```